1.
Entry from the Alexandria database: an optimized crystal structure of KNaAu2 (GGA-PBE).

Cell and atoms, written as CIF:
```
data_KNaAu2
_chemical_formula_sum 'K1 Na1 Au2'
_symmetry_space_group_name_H-M 'P 1'
_symmetry_Int_Tables_number 1
_cell_length_a 3.7556
_cell_length_b 3.7556
_cell_length_c 7.5180
_cell_angle_alpha 90.00
_cell_angle_beta 90.00
_cell_angle_gamma 90.00
loop_
_symmetry_equiv_pos_as_xyz
'x,y,z'
loop_
_atom_site_label
_atom_site_fract_x
_atom_site_fract_y
_atom_site_fract_z
Na1 0.5000 0.5000 0.0000
K1 0.5000 0.5000 0.5000
Au1 0.0000 0.0000 0.7977
Au2 0.0000 0.0000 0.2023
```

Values from the calculation:
* offset from the most stable computed form: 14.7 meV per atom
* energy relative to the elements: -258 meV per atom



2.
Entry from the Alexandria database: an optimized crystal structure of KNa7Au2 (GGA-PBE).

Cell and atoms, written as CIF:
```
data_KNa7Au2
_chemical_formula_sum 'K1 Na7 Au2'
_symmetry_space_group_name_H-M 'P 1'
_symmetry_Int_Tables_number 1
_cell_length_a 5.7256
_cell_length_b 8.5040
_cell_length_c 8.5040
_cell_angle_alpha 110.98
_cell_angle_beta 90.00
_cell_angle_gamma 90.00
loop_
_symmetry_equiv_pos_as_xyz
'x,y,z'
loop_
_atom_site_label
_atom_site_fract_x
_atom_site_fract_y
_atom_site_fract_z
K1 0.0000 0.0000 0.0000
Na1 0.0000 0.6747 0.3253
Na2 0.0000 0.3253 0.6747
Na3 0.5000 0.0730 0.3428
Na4 0.5000 0.9270 0.6572
Na5 0.5000 0.3428 0.0730
Na6 0.5000 0.6572 0.9270
Na7 0.5000 0.5000 0.5000
Au1 0.5000 0.7127 0.2873
Au2 0.5000 0.2873 0.7127
```

Values from the calculation:
* energy relative to the elements: -87 meV per atom



3.
Entry from the Alexandria database: an optimized crystal structure of KNa8Au2 (GGA-PBE).

Cell and atoms, written as CIF:
```
data_KNa8Au2
_chemical_formula_sum 'K1 Na8 Au2'
_symmetry_space_group_name_H-M 'P 1'
_symmetry_Int_Tables_number 1
_cell_length_a 5.9540
_cell_length_b 8.4098
_cell_length_c 8.4098
_cell_angle_alpha 112.26
_cell_angle_beta 97.01
_cell_angle_gamma 97.01
loop_
_symmetry_equiv_pos_as_xyz
'x,y,z'
loop_
_atom_site_label
_atom_site_fract_x
_atom_site_fract_y
_atom_site_fract_z
K1 0.5000 0.0000 0.0000
Na1 0.9193 0.9380 0.6573
Na2 0.9193 0.6573 0.9380
Na3 0.2678 0.5808 0.5808
Na4 0.5000 0.7279 0.2721
Na5 0.5000 0.2721 0.7279
Na6 0.7322 0.4192 0.4192
Na7 0.0807 0.3427 0.0620
Na8 0.0807 0.0620 0.3427
Au1 0.0000 0.3132 0.6868
Au2 0.0000 0.6868 0.3132
```

Values from the calculation:
* offset from the most stable computed form: 0.0 meV per atom
* energy relative to the elements: -116 meV per atom



4.
Entry from the Alexandria database: an optimized crystal structure of K8NaAu2 (GGA-PBE).

Cell and atoms, written as CIF:
```
data_K8NaAu2
_chemical_formula_sum 'K8 Na1 Au2'
_symmetry_space_group_name_H-M 'P 1'
_symmetry_Int_Tables_number 1
_cell_length_a 6.7026
_cell_length_b 9.5563
_cell_length_c 9.5563
_cell_angle_alpha 111.56
_cell_angle_beta 96.91
_cell_angle_gamma 96.91
loop_
_symmetry_equiv_pos_as_xyz
'x,y,z'
loop_
_atom_site_label
_atom_site_fract_x
_atom_site_fract_y
_atom_site_fract_z
K1 0.9155 0.9423 0.6669
K2 0.9155 0.6669 0.9423
K3 0.2838 0.6132 0.6132
K4 0.5000 0.7438 0.2562
K5 0.5000 0.2562 0.7438
K6 0.7162 0.3868 0.3868
K7 0.0845 0.3331 0.0577
K8 0.0845 0.0577 0.3331
Na1 0.5000 0.0000 0.0000
Au1 0.0000 0.3185 0.6815
Au2 0.0000 0.6815 0.3185
```

Values from the calculation:
* energy relative to the elements: -117 meV per atom



5.
Entry from the Alexandria database: an optimized crystal structure of K6Na12Au (GGA-PBE).

Cell and atoms, written as CIF:
```
data_K6Na12Au
_chemical_formula_sum 'K6 Na12 Au1'
_symmetry_space_group_name_H-M 'P 1'
_symmetry_Int_Tables_number 1
_cell_length_a 9.8236
_cell_length_b 9.8236
_cell_length_c 9.8236
_cell_angle_alpha 103.88
_cell_angle_beta 103.88
_cell_angle_gamma 103.88
loop_
_symmetry_equiv_pos_as_xyz
'x,y,z'
loop_
_atom_site_label
_atom_site_fract_x
_atom_site_fract_y
_atom_site_fract_z
K1 0.1273 0.1997 0.4266
K2 0.8003 0.5734 0.8727
K3 0.5734 0.8727 0.8003
K4 0.8727 0.8003 0.5734
K5 0.1997 0.4266 0.1273
K6 0.4266 0.1273 0.1997
Na1 0.5221 0.1834 0.6434
Na2 0.1834 0.6434 0.5221
Na3 0.6434 0.5221 0.1834
Na4 0.4779 0.8166 0.3566
Na5 0.8166 0.3566 0.4779
Na6 0.3566 0.4779 0.8166
Na7 0.2351 0.0881 0.8139
Na8 0.1861 0.7649 0.9119
Na9 0.9119 0.1861 0.7649
Na10 0.7649 0.9119 0.1861
Na11 0.8139 0.2351 0.0881
Na12 0.0881 0.8139 0.2351
Au1 0.0000 0.0000 0.0000
```

Values from the calculation:
* energy relative to the elements: 26 meV per atom



6.
Entry from the Alexandria database: an optimized crystal structure of KNa3Au2 (GGA-PBE).

Cell and atoms, written as CIF:
```
data_KNa3Au2
_chemical_formula_sum 'K2 Na6 Au4'
_symmetry_space_group_name_H-M 'P 1'
_symmetry_Int_Tables_number 1
_cell_length_a 5.2827
_cell_length_b 5.2827
_cell_length_c 13.6001
_cell_angle_alpha 90.00
_cell_angle_beta 90.00
_cell_angle_gamma 120.00
loop_
_symmetry_equiv_pos_as_xyz
'x,y,z'
loop_
_atom_site_label
_atom_site_fract_x
_atom_site_fract_y
_atom_site_fract_z
K1 0.0000 0.0000 0.2500
K2 0.0000 0.0000 0.7500
Na1 0.0000 0.0000 0.5000
Na2 0.0000 0.0000 0.0000
Na3 0.6667 0.3333 0.5904
Na4 0.3333 0.6667 0.0904
Na5 0.6667 0.3333 0.9096
Na6 0.3333 0.6667 0.4096
Au1 0.6667 0.3333 0.3593
Au2 0.3333 0.6667 0.6407
Au3 0.3333 0.6667 0.8593
Au4 0.6667 0.3333 0.1407
```

Values from the calculation:
* offset from the most stable computed form: 14.3 meV per atom
* energy relative to the elements: -210 meV per atom



What uncorrected energy values result from the calculations? In sequence: -2.501, -1.775, -1.771, -1.631, -1.326, -2.145 eV per atom.